[1]
# Li4Nd2H (PBE, optimized geometry)
data_Li4Nd2H
_chemical_formula_sum 'Li8 Nd4 H2'
_cell_length_a 3.726
_cell_length_b 3.726
_cell_length_c 21.545
_cell_angle_alpha 90.00
_cell_angle_beta 90.00
_cell_angle_gamma 90.00
_space_group_name_H-M_alt 'I 4/m m m'
_space_group_IT_number 139
_space_group_name_Hall '-I 4 2'
loop_
_atom_site_label
_atom_site_fract_x
_atom_site_fract_y
_atom_site_fract_z
_atom_site_occupancy
Li1 0.000 0.000 0.093 1
Li2 0.000 0.500 0.000 1
Nd1 0.000 0.000 0.308 1
H1 0.000 0.000 0.000 1
# Uncorrected energy = -41.15 eV/cell
# Theoretical density = 3.5 g/cm³


[2]
# LiAsBr (PBE, optimized geometry)
data_LiAsBr
_chemical_formula_sum 'Li1 As1 Br1'
_cell_length_a 4.6357
_cell_length_b 4.6357
_cell_length_c 3.4254
_cell_angle_alpha 90.00
_cell_angle_beta 90.00
_cell_angle_gamma 120.00
_space_group_name_H-M_alt 'P -6 m 2'
_space_group_IT_number 187
_space_group_name_Hall 'P -6 2'
loop_
_atom_site_label
_atom_site_fract_x
_atom_site_fract_y
_atom_site_fract_z
_atom_site_occupancy
Li1 0.0000 0.0000 0.0000 1
As1 0.6667 0.3333 0.5000 1
Br1 0.3333 0.6667 0.0000 1
# ΔE_f (raw) = 13 meV per atom
# Distance to the lowest polymorph of the same formula = 0.8329 eV/atom
# Uncorrected energy = -8.20 eV/cell
# Theoretical density = 4.2 g/cm³


[3]
# TlSeCl (PBE, optimized geometry)
data_TlSeCl
_chemical_formula_sum 'Tl2 Se2 Cl2'
_cell_length_a 4.541
_cell_length_b 4.541
_cell_length_c 10.081
_cell_angle_alpha 90.00
_cell_angle_beta 90.00
_cell_angle_gamma 90.00
_space_group_name_H-M_alt 'I 4 m m'
_space_group_IT_number 107
_space_group_name_Hall 'I 4 -2'
loop_
_atom_site_label
_atom_site_fract_x
_atom_site_fract_y
_atom_site_fract_z
_atom_site_occupancy
Tl1 0.000 0.000 0.000 1
Se1 0.000 0.000 0.571 1
Cl1 0.000 0.000 0.349 1
# ΔE_f (raw) = -271 meV per atom
# Uncorrected energy = -17.02 eV/cell
# Theoretical density = 5.1 g/cm³


[4]
# Pd2NCl2 (PBE, optimized geometry)
data_Pd2NCl2
_chemical_formula_sum 'Pd4 N2 Cl4'
_cell_length_a 6.156
_cell_length_b 6.156
_cell_length_c 4.652
_cell_angle_alpha 90.00
_cell_angle_beta 90.00
_cell_angle_gamma 90.00
_space_group_name_H-M_alt 'P 4/m b m'
_space_group_IT_number 127
_space_group_name_Hall '-P 4 2ab'
loop_
_atom_site_label
_atom_site_fract_x
_atom_site_fract_y
_atom_site_fract_z
_atom_site_occupancy
Pd1 0.180 0.320 0.000 1
N1 0.000 0.000 0.500 1
Cl1 0.215 0.285 0.500 1
# ΔE_f (raw) = 1121 meV per atom
# Distance to the lowest polymorph of the same formula = 0.0116 eV/atom
# Uncorrected energy = -33.60 eV/cell
# Theoretical density = 5.6 g/cm³


[5]
# HgMo2Pb (PBE, optimized geometry)
data_HgMo2Pb
_chemical_formula_sum 'Hg2 Mo4 Pb2'
_cell_length_a 3.366
_cell_length_b 4.859
_cell_length_c 9.459
_cell_angle_alpha 90.00
_cell_angle_beta 90.00
_cell_angle_gamma 90.00
_space_group_name_H-M_alt 'I m m m'
_space_group_IT_number 71
_space_group_name_Hall '-I 2 2'
loop_
_atom_site_label
_atom_site_fract_x
_atom_site_fract_y
_atom_site_fract_z
_atom_site_occupancy
Hg1 0.000 0.000 0.000 1
Mo1 0.000 0.500 0.246 1
Pb1 0.000 0.000 0.500 1
# Energy of formation = 0.799 eV/atom
# Distance to the lowest polymorph of the same formula = 0.4029 eV/atom
# Uncorrected energy = -44.95 eV/cell
# Theoretical density = 12.9 g/cm³


[6]
# Tl2ZnH12Se2O14 (PBE, optimized geometry)
data_Tl2ZnH12Se2O14
_chemical_formula_sum 'Tl4 Zn2 H24 Se4 O28'
_cell_length_a 6.478
_cell_length_b 12.744
_cell_length_c 9.373
_cell_angle_alpha 90.00
_cell_angle_beta 104.06
_cell_angle_gamma 90.00
_space_group_name_H-M_alt 'P 1 21/c 1'
_space_group_IT_number 14
loop_
_space_group_symop_operation_xyz
'x,y,z'
'-x,-y,-z'
'-x,y+1/2,-z+1/2'
'x,-y+1/2,z+1/2'
loop_
_atom_site_label
_atom_site_fract_x
_atom_site_fract_y
_atom_site_fract_z
_atom_site_occupancy
Tl1 0.156 0.154 0.362 1
Zn1 0.500 0.000 0.000 1
H1 0.173 0.559 0.606 1
H2 0.178 0.638 0.475 1
H3 0.182 0.087 0.790 1
H4 0.401 0.124 0.755 1
H5 0.425 0.600 0.232 1
H6 0.497 0.187 0.145 1
Se1 0.230 0.640 0.907 1
O1 0.076 0.746 0.908 1
O2 0.103 0.560 0.770 1
O3 0.214 0.564 0.510 1
O4 0.259 0.574 0.065 1
O5 0.330 0.109 0.835 1
O6 0.467 0.677 0.880 1
O7 0.472 0.113 0.171 1
# Uncorrected energy = -306.82 eV/cell
# Theoretical density = 3.8 g/cm³


Size of the total moment for every record listed, in sequence, given in μB/f.u.: 0.00; 0.00; 0.00; 0.96; 0.00; 0.00.